Record 1
A relaxed structure of PaGaPdRh. Source: Alexandria, functional PBE.

a b c (Å): 6.6608 6.6608 6.6608
angles (deg): 90.00 90.00 90.00
Space group F-43m (No. 216)
Unique sites:
Pa 0.0000 0.0000 0.0000
Ga 0.0000 0.0000 0.5000
Pd 0.2500 0.2500 0.2500
Rh 0.2500 0.2500 0.7500

* final energy: -6.866 eV per atom
* formation energy: -2.397 eV per formula unit
* crystal system: cubic
* D(E_F): 16.3 states/eV/cell


Record 2
A relaxed structure of PaGaPdRu. Source: Alexandria, functional PBE.

a b c (Å): 6.6310 6.6310 6.6310
angles (deg): 90.00 90.00 90.00
Space group F-43m (No. 216)
Unique sites:
Pa 0.0000 0.0000 0.0000
Ga 0.0000 0.0000 0.5000
Pd 0.2500 0.2500 0.7500
Ru 0.2500 0.2500 0.2500

* final energy: -7.190 eV per atom
* formation energy: -1.767 eV per formula unit
* crystal system: cubic
* D(E_F): 21.2 states/eV/cell


Record 3
A relaxed structure of ScPaGaPd. Source: Alexandria, functional PBE.

a b c (Å): 6.9342 6.9342 6.9342
angles (deg): 90.00 90.00 90.00
Space group F-43m (No. 216)
Unique sites:
Sc 0.0000 0.0000 0.0000
Pa 0.0000 0.0000 0.5000
Ga 0.2500 0.2500 0.7500
Pd 0.2500 0.2500 0.2500

* final energy: -6.398 eV per atom
* formation energy: -1.544 eV per formula unit
* crystal system: cubic
* D(E_F): 27.2 states/eV/cell


Record 4
A relaxed structure of TbPaGaPd. Source: Alexandria, functional PBE.

a b c (Å): 7.1180 7.1180 7.1180
angles (deg): 90.00 90.00 90.00
Space group F-43m (No. 216)
Unique sites:
Tb 0.0000 0.0000 0.0000
Pa 0.0000 0.0000 0.5000
Ga 0.2500 0.2500 0.2500
Pd 0.2500 0.2500 0.7500

* final energy: -5.937 eV per atom
* formation energy: -1.403 eV per formula unit
* crystal system: cubic
* D(E_F): 27.7 states/eV/cell


Record 5
A relaxed structure of TmPaGaPd. Source: Alexandria, functional PBE.

a b c (Å): 7.0671 7.0671 7.0671
angles (deg): 90.00 90.00 90.00
Space group F-43m (No. 216)
Unique sites:
Tm 0.0000 0.0000 0.0000
Pa 0.0000 0.0000 0.5000
Ga 0.2500 0.2500 0.7500
Pd 0.2500 0.2500 0.2500

* final energy: -5.930 eV per atom
* formation energy: -1.533 eV per formula unit
* crystal system: cubic
* D(E_F): 26.7 states/eV/cell


Record 6
A relaxed structure of UPaGaPd. Source: Alexandria, functional PBE.

a b c (Å): 6.8899 6.8899 6.8899
angles (deg): 90.00 90.00 90.00
Space group F-43m (No. 216)
Unique sites:
U 0.0000 0.0000 0.0000
Pa 0.2500 0.2500 0.2500
Ga 0.2500 0.2500 0.7500
Pd 0.0000 0.0000 0.5000

* final energy: -7.306 eV per atom
* formation energy: -0.219 eV per formula unit
* crystal system: cubic
* D(E_F): 26.1 states/eV/cell


Record 7
A relaxed structure of PaVGaPd. Source: Alexandria, functional PBE.

a b c (Å): 6.5745 6.5745 6.5745
angles (deg): 90.00 90.00 90.00
Space group F-43m (No. 216)
Unique sites:
Pa 0.0000 0.0000 0.0000
V 0.2500 0.2500 0.7500
Ga 0.0000 0.0000 0.5000
Pd 0.2500 0.2500 0.2500

* final energy: -6.845 eV per atom
* formation energy: -0.547 eV per formula unit
* crystal system: cubic
* D(E_F): 23.0 states/eV/cell


Record 8
A relaxed structure of Pa2ZnGa4Pd3. Source: Alexandria, functional PBE.

a b c (Å): 4.1006 4.1006 10.9905
angles (deg): 90.00 90.00 90.00
Space group P-4m2 (No. 115)
Unique sites:
Pa 0.0000 0.5000 0.2456
Zn 0.0000 0.0000 0.5000
Ga 0.0000 0.0000 0.0000
Ga 0.0000 0.5000 0.6347
Ga 0.5000 0.5000 0.0000
Pd 0.0000 0.5000 0.8574
Pd 0.5000 0.5000 0.5000

* final energy: -5.309 eV per atom
* formation energy: -5.139 eV per formula unit
* crystal system: tetragonal
* D(E_F): 8.0 states/eV/cell